Entry 1:
CaTcRu2 | the Alexandria database | PBEsol | optimized geometry; electronic total energy = -30.992 eV/f.u.; symmetry = No. 47
1.0
-2.617 -1.286 0.257
1.920 -4.018 -0.555
0.620 -0.341 4.617
Ca Ru Tc
1 2 1
direct
0.000 0.500 0.500
0.000 0.000 0.000
0.500 0.000 0.500
0.500 0.500 0.000

Entry 2:
BaNi2BrF | the Alexandria database | PBEsol | optimized geometry; E_form (uncorrected) = -0.672 eV/atom; electronic total energy = -21.621 eV/f.u.; symmetry = No. 123
1.0
-1.758 3.596 1.360
-1.557 0.701 -3.867
-4.881 -2.929 1.434
Ni Ba Br F
2 1 1 1
direct
0.000 0.500 0.000
0.500 0.000 0.000
0.500 0.500 0.500
0.000 0.000 0.000
0.000 0.000 0.500

Entry 3:
CuSi2P | the Alexandria database | PBEsol | optimized geometry; E_form (uncorrected) = 0.300 eV/atom; electronic total energy = -20.417 eV/f.u.; symmetry = No. 47
1.0
2.544 0.000 0.000
0.000 3.146 0.000
0.000 0.000 6.640
Cu P Si
1 1 2
direct
0.500 0.500 0.000
0.500 0.500 0.500
0.000 0.000 0.758
0.000 0.000 0.242

Entry 4:
CsCd2Ga2 | the Alexandria database | PBEsol | optimized geometry; electronic total energy = -10.021 eV/f.u.; symmetry = No. 139
1.0
4.928 0.000 0.000
0.000 4.928 0.000
-2.464 -2.464 5.428
Cs Ga Cd
1 2 2
direct
0.000 0.000 0.000
0.381 0.381 0.762
0.619 0.619 0.238
0.250 0.750 0.500
0.750 0.250 0.500

Entry 5:
K2Na2Hg | the Alexandria database | PBEsol | optimized geometry; electronic total energy = -5.822 eV/f.u.; symmetry = No. 127
1.0
-4.030 3.115 3.447
-3.353 -7.024 2.428
5.167 -0.288 6.300
Na K Hg
4 4 2
direct
0.000 0.352 0.852
0.000 0.852 0.648
0.000 0.648 0.148
0.000 0.148 0.352
0.500 0.185 0.685
0.500 0.685 0.815
0.500 0.815 0.315
0.500 0.315 0.185
0.000 0.000 0.000
0.000 0.500 0.500

Entry 6:
SrMg2Si | the Alexandria database | PBEsol | optimized geometry; E_form (uncorrected) = 0.190 eV/atom; electronic total energy = -10.261 eV/f.u.; symmetry = No. 160
1.0
-3.195 -1.361 -0.942
-0.231 -2.311 -2.749
0.203 -8.595 4.855
Mg Si Sr
2 1 1
direct
0.009 0.009 0.973
0.763 0.763 0.712
0.491 0.491 0.526
0.237 0.237 0.288

Entry 7:
ZrTiAu | the Alexandria database | PBEsol | optimized geometry; electronic total energy = -22.417 eV/f.u.; symmetry = No. 38
1.0
-2.112 -3.908 -3.041
5.161 1.379 -0.667
2.348 -5.906 5.958
Zr Ti Au
4 4 4
direct
0.324 0.676 0.312
0.661 0.339 0.186
0.661 0.339 0.814
0.324 0.676 0.688
0.844 0.156 0.500
0.653 0.830 0.000
0.170 0.347 0.000
0.177 0.823 0.000
0.994 0.006 0.244
0.994 0.006 0.756
0.355 0.157 0.500
0.843 0.645 0.500

Entry 8:
Te3MoWS | the Alexandria database | PBEsol | optimized geometry; E_form (uncorrected) = -0.329 eV/atom; electronic total energy = -42.511 eV/f.u.; symmetry = No. 156
1.0
-1.603 -2.981 0.217
1.851 0.734 -2.745
22.013 -10.969 11.912
Te Mo W S
6 2 2 2
direct
0.000 0.000 0.691
0.000 0.000 0.172
0.667 0.333 0.567
0.667 0.333 0.432
0.000 0.000 0.826
0.000 0.000 0.308
0.000 0.000 0.499
0.667 0.333 0.758
0.000 0.000 0.999
0.667 0.333 0.240
0.667 0.333 0.054
0.667 0.333 0.945

Entry 9:
Nb2SiSb | the Alexandria database | PBEsol | optimized geometry; E_form (uncorrected) = -0.127 eV/atom; electronic total energy = -32.454 eV/f.u.; symmetry = No. 225
1.0
4.618 0.000 0.000
2.309 3.999 0.000
2.309 1.333 3.771
Sb Nb Si
1 2 1
direct
0.500 0.500 0.500
0.250 0.250 0.250
0.750 0.750 0.750
0.000 0.000 0.000

Entry 10:
CaY | the Alexandria database | PBEsol | optimized geometry; electronic total energy = -8.828 eV/f.u.; symmetry = No. 166
1.0
3.628 0.000 0.000
1.814 3.142 0.000
1.814 1.047 12.170
Y Ca
2 2
direct
0.629 0.629 0.112
0.371 0.371 0.888
0.122 0.122 0.635
0.878 0.878 0.365

Entry 11:
Be2AlP | the Alexandria database | PBEsol | optimized geometry; electronic total energy = -15.978 eV/f.u.; symmetry = No. 225
1.0
-3.426 -1.607 -1.471
-2.796 -1.491 2.538
-3.531 1.942 0.499
P Al Be
1 1 2
direct
0.500 0.500 0.500
0.000 0.000 0.000
0.250 0.250 0.250
0.750 0.750 0.750

Entry 12:
Hf3Ni7 | the Alexandria database | PBEsol | optimized geometry; electronic total energy = -79.829 eV/f.u.; symmetry = No. 2
1.0
-5.665 0.014 3.002
2.181 -5.996 -1.194
4.862 2.533 5.125
Hf Ni
6 14
direct
0.500 0.727 0.869
0.500 0.273 0.131
0.901 0.545 0.778
0.099 0.455 0.222
0.842 0.974 0.624
0.158 0.026 0.376
0.500 0.500 0.500
0.000 0.000 0.000
0.771 0.063 0.215
0.229 0.937 0.785
0.618 0.176 0.457
0.382 0.824 0.543
0.445 0.300 0.735
0.555 0.700 0.265
0.180 0.358 0.905
0.820 0.642 0.095
0.106 0.384 0.559
0.894 0.616 0.441
0.279 0.828 0.108
0.721 0.172 0.892

Entry 13:
LiMoW | the Alexandria database | PBEsol | optimized geometry; electronic total energy = -26.197 eV/f.u.; symmetry = No. 44
1.0
2.531 0.000 0.000
0.000 4.367 0.000
-1.265 -2.184 3.996
Li Mo W
1 1 1
direct
0.000 0.000 0.999
0.667 0.667 0.334
0.333 0.333 0.667

Entry 14:
HfGaNi3 | the Alexandria database | PBEsol | optimized geometry; electronic total energy = -30.771 eV/f.u.; symmetry = No. 221
1.0
4.226 0.000 0.000
0.000 4.226 0.000
0.000 0.000 4.226
Ni Hf Ga
3 1 1
direct
0.000 0.500 0.000
0.000 0.000 0.500
0.500 0.000 0.000
0.500 0.500 0.500
0.000 0.000 0.000

Entry 15:
BeRhSe2 | the Alexandria database | PBEsol | optimized geometry; E_form (uncorrected) = -0.265 eV/atom; electronic total energy = -20.900 eV/f.u.; symmetry = No. 122
1.0
-1.212 5.045 1.161
-3.964 -0.137 -3.541
-0.691 -4.101 4.924
Be Rh Se
2 2 4
direct
0.750 0.250 0.500
0.500 0.500 0.000
0.250 0.750 0.500
0.000 0.000 0.000
0.405 0.875 0.250
0.845 0.375 0.250
0.125 0.155 0.750
0.625 0.595 0.750

Entry 16:
TeAsIr | the Alexandria database | PBEsol | optimized geometry; E_form (uncorrected) = -0.457 eV/atom; electronic total energy = -19.826 eV/f.u.; symmetry = No. 198
1.0
6.167 0.000 0.000
0.000 6.167 0.000
0.000 0.000 6.167
As Ir Te
4 4 4
direct
0.377 0.377 0.377
0.123 0.623 0.877
0.877 0.123 0.623
0.623 0.877 0.123
0.989 0.989 0.989
0.511 0.011 0.489
0.489 0.511 0.011
0.011 0.489 0.511
0.623 0.623 0.623
0.877 0.377 0.123
0.123 0.877 0.377
0.377 0.123 0.877

Entry 17:
BaSi2Os | the Alexandria database | PBEsol | optimized geometry; E_form (uncorrected) = -0.392 eV/atom; electronic total energy = -27.426 eV/f.u.; symmetry = No. 166
1.0
-0.275 3.370 -2.327
-2.859 2.830 0.816
2.718 4.838 3.066
Si Os Ba
2 1 1
direct
0.700 0.700 0.899
0.300 0.300 0.101
0.000 0.000 0.000
0.500 0.500 0.500

Entry 18:
LiRu3 | the Alexandria database | PBEsol | optimized geometry; electronic total energy = -31.146 eV/f.u.; symmetry = No. 139
1.0
3.613 0.000 0.000
0.000 3.613 0.000
-1.807 -1.807 3.914
Li Ru
1 3
direct
0.000 0.000 0.000
0.750 0.250 0.500
0.500 0.500 0.000
0.250 0.750 0.500

Entry 19:
Be2NbCu | the Alexandria database | PBEsol | optimized geometry; electronic total energy = -20.878 eV/f.u.; symmetry = No. 122
1.0
3.812 0.000 0.000
0.000 3.812 0.000
-1.906 -1.906 7.150
Be Nb Cu
4 2 2
direct
0.576 0.875 0.250
0.674 0.375 0.250
0.125 0.326 0.750
0.625 0.424 0.750
0.250 0.750 0.500
0.000 0.000 0.000
0.750 0.250 0.500
0.500 0.500 0.000

Entry 20:
SiIrI2 | the Alexandria database | PBEsol | optimized geometry; E_form (uncorrected) = 1.043 eV/atom; electronic total energy = -14.931 eV/f.u.; symmetry = No. 225
1.0
4.913 0.000 0.000
2.457 4.255 0.000
2.457 1.418 4.012
I Si Ir
2 1 1
direct
0.250 0.250 0.250
0.750 0.750 0.750
0.000 0.000 0.000
0.500 0.500 0.500